## Ce8SbTe4P3 (PBE)

Data for an optimized crystal structure of Ce8SbTe4P3.

Geometry as POSCAR:
```
Ce8SbTe4P3
1.0
-7.690 2.752 2.734
0.688 -5.133 7.103
6.243 5.679 -1.725
Ce Sb Te P
8 1 4 3
Direct
0.262 0.286 0.524
0.751 0.277 0.026
0.275 0.277 0.026
0.751 0.276 0.502
0.249 0.724 0.498
0.725 0.723 0.974
0.738 0.714 0.476
0.249 0.723 0.974
0.000 0.500 0.000
0.500 0.000 0.500
0.500 0.000 0.000
0.000 0.000 0.500
0.000 0.000 0.000
0.000 0.500 0.500
0.500 0.500 0.000
0.500 0.500 0.500
```

Summary:
ΔE_f (raw) (eV/atom): -1.383